# 1
A plane-wave DFT calculation with PBE was carried out for a geometry-optimized Sc2MoAu structure.

Cell and atoms, written as CIF:
```
data_Sc2MoAu
_cell_length_a 4.037
_cell_length_b 4.037
_cell_length_c 9.237
_cell_angle_alpha 90.00
_cell_angle_beta 90.00
_cell_angle_gamma 90.00
_symmetry_space_group_name_H-M 'I -4 m 2'
_symmetry_Int_Tables_number 119
_symmetry_space_group_name_Hall 'I -4 -2'
loop_
_atom_site_label
_atom_site_type_symbol
_atom_site_fract_x
_atom_site_fract_y
_atom_site_fract_z
Sc1 Sc 0.000 0.000 0.000
Sc2 Sc 0.000 0.500 0.250
Mo1 Mo 0.000 0.000 0.500
Au1 Au 0.000 0.500 0.750
```

Calculated values
* Fermi-level density of states: 8.6 states/eV per cell
* magnetization: 0.0 Bohr magnetons per cell
* relative energy among the computed polymorphs: 0.37 eV/f.u.
* DFT formation energy: -0.15 eV per atom
* ρ: 8.45 Mg/m³


# 2
A plane-wave DFT calculation with PBE was carried out for a geometry-optimized Ac3PrPd8 structure.

Cell and atoms, written as CIF:
```
data_Ac3PrPd8
_cell_length_a 5.6482
_cell_length_b 5.6482
_cell_length_c 27.7338
_cell_angle_alpha 90.00
_cell_angle_beta 90.00
_cell_angle_gamma 120.00
_symmetry_space_group_name_H-M 'R 3 m'
_symmetry_Int_Tables_number 160
_symmetry_space_group_name_Hall 'R 3 -2"'
loop_
_atom_site_label
_atom_site_type_symbol
_atom_site_fract_x
_atom_site_fract_y
_atom_site_fract_z
Ac1 Ac 0.0000 0.0000 0.0000
Ac2 Ac 0.0000 0.0000 0.1261
Ac3 Ac 0.0000 0.0000 0.5048
Pr1 Pr 0.0000 0.0000 0.6287
Pd1 Pd 0.0000 0.0000 0.3146
Pd2 Pd 0.0000 0.0000 0.8147
Pd3 Pd 0.9998 0.4999 0.0640
Pd4 Pd 0.0001 0.5001 0.5653
```

Calculated values
* Fermi-level density of states: 9.6 states/eV per cell
* magnetization: 0.0 Bohr magnetons per cell
* DFT formation energy: -0.75 eV per atom
* ρ: 10.88 Mg/m³